[1]
# Cs3ReF

Crystalline Cs3ReF at its relaxed geometry (GGA-PBEsol, Alexandria via LeMat-Bulk).

Structure (POSCAR):
```
Cs3ReF
1.0
5.753 0.000 0.000
0.000 5.753 0.000
0.000 0.000 5.753
Cs Re F
3 1 1
Cartesian
0.000 0.000 2.876
0.000 2.876 0.000
2.876 0.000 0.000
0.000 0.000 0.000
2.876 2.876 2.876
```

Values from the calculation:
Total DFT energy (no corrections) = -3.0674 eV/atom

=====

[2]
# CsRuF6

Crystalline CsRuF6 at its relaxed geometry (GGA-PBEsol, Alexandria via LeMat-Bulk).

Structure (POSCAR):
```
CsRuF6
1.0
3.971 2.292 2.630
-3.971 2.292 2.630
0.000 -4.585 2.630
Cs Ru F
1 1 6
Cartesian
0.000 0.000 0.000
0.000 0.000 3.945
0.000 -1.516 2.847
-1.313 0.758 2.847
-1.313 -0.758 5.043
1.313 0.758 2.847
1.313 -0.758 5.043
0.000 1.516 5.043
```

Values from the calculation:
Total DFT energy (no corrections) = -5.0040 eV/atom

=====

[3]
# CsRu2F

Crystalline CsRu2F at its relaxed geometry (GGA-PBEsol, Alexandria via LeMat-Bulk).

Structure (POSCAR):
```
CsRu2F
1.0
0.000 3.146 3.146
3.146 0.000 3.146
3.146 3.146 0.000
Cs Ru F
1 2 1
Cartesian
0.000 0.000 0.000
1.573 1.573 1.573
4.719 4.719 4.719
3.146 3.146 3.146
```

Values from the calculation:
Total DFT energy (no corrections) = -4.3752 eV/atom

=====

[4]
# Cs2RuSeF

Crystalline Cs2RuSeF at its relaxed geometry (GGA-PBEsol, Alexandria via LeMat-Bulk).

Structure (POSCAR):
```
Cs2RuSeF
1.0
5.958 0.000 0.000
0.000 5.958 0.000
0.000 0.000 4.120
Cs Ru Se F
2 1 1 1
Cartesian
0.000 2.979 0.000
2.979 0.000 0.000
0.000 0.000 2.060
2.979 2.979 2.060
0.000 0.000 0.000
```

Values from the calculation:
Total DFT energy (no corrections) = -3.8263 eV/atom

=====

[5]
# Cs2TlRuF6

Crystalline Cs2TlRuF6 at its relaxed geometry (GGA-PBEsol, Alexandria via LeMat-Bulk).

Structure (POSCAR):
```
Cs2TlRuF6
1.0
0.000 4.599 4.599
4.599 0.000 4.599
4.599 4.599 0.000
Cs Tl Ru F
2 1 1 6
Cartesian
2.299 2.299 2.299
6.898 6.898 6.898
0.000 0.000 0.000
4.599 4.599 4.599
4.599 4.599 2.600
4.599 2.600 4.599
6.598 4.599 4.599
2.600 4.599 4.599
4.599 6.598 4.599
4.599 4.599 6.598
```

Values from the calculation:
Total DFT energy (no corrections) = -4.7723 eV/atom

=====

[6]
# CsS2F2

Crystalline CsS2F2 at its relaxed geometry (GGA-PBEsol, Alexandria via LeMat-Bulk).

Structure (POSCAR):
```
CsS2F2
1.0
-1.690 1.690 7.699
1.690 -1.690 7.699
1.690 1.690 -7.699
Cs S F
1 2 2
Cartesian
0.000 0.000 0.000
1.690 0.000 3.849
0.000 1.690 3.849
0.000 0.000 6.009
0.000 0.000 9.388
```

Values from the calculation:
Total DFT energy (no corrections) = -3.6570 eV/atom

=====

[7]
# Cs3SbF6

Crystalline Cs3SbF6 at its relaxed geometry (GGA-PBEsol, Alexandria via LeMat-Bulk).

Structure (POSCAR):
```
Cs3SbF6
1.0
0.000 4.948 4.948
4.948 0.000 4.948
4.948 4.948 0.000
Cs Sb F
3 1 6
Cartesian
0.000 0.000 0.000
2.474 2.474 2.474
7.422 7.422 7.422
4.948 4.948 4.948
4.948 4.948 2.765
4.948 2.765 4.948
7.131 4.948 4.948
2.765 4.948 4.948
4.948 7.131 4.948
4.948 4.948 7.131
```

Values from the calculation:
Total DFT energy (no corrections) = -4.4961 eV/atom

=====

[8]
# Cs2SbF5

Crystalline Cs2SbF5 at its relaxed geometry (GGA-PBEsol, Alexandria via LeMat-Bulk).

Structure (POSCAR):
```
Cs2SbF5
1.0
3.306 -7.143 0.000
3.306 7.143 0.000
0.000 0.000 7.071
Cs Sb F
4 2 10
Cartesian
3.306 6.314 5.303
3.306 3.450 1.768
3.306 -3.450 5.303
3.306 -6.314 1.768
3.306 1.286 5.303
3.306 -1.286 1.768
1.821 1.649 3.869
1.821 1.649 6.738
3.306 3.266 5.303
1.821 -1.649 0.333
1.821 -1.649 3.202
4.792 1.649 3.869
4.792 1.649 6.738
3.306 -3.266 1.768
4.792 -1.649 0.333
4.792 -1.649 3.202
```

Values from the calculation:
Energy above the most stable polymorph in this dataset = 0 meV per atom

=====

[9]
# Cs2SbF5

Crystalline Cs2SbF5 at its relaxed geometry (GGA-PBEsol, Alexandria via LeMat-Bulk).

Structure (POSCAR):
```
Cs2SbF5
1.0
8.944 0.000 0.000
0.000 6.498 0.000
0.000 0.000 11.680
Cs Sb F
8 4 20
Cartesian
0.042 1.624 2.737
1.635 1.624 6.749
2.837 4.873 0.909
4.430 4.873 8.577
4.514 1.624 3.103
6.107 1.624 10.772
7.309 4.873 4.932
8.902 4.873 8.943
1.508 1.624 10.885
2.964 4.873 5.045
5.981 1.624 6.636
7.436 4.873 0.796
0.000 0.000 0.000
0.000 3.249 0.000
0.183 1.624 9.340
0.994 4.873 6.255
2.115 3.384 3.928
2.115 6.362 3.928
2.357 0.135 9.768
2.357 3.113 9.768
3.478 1.624 0.415
4.290 4.873 3.500
4.472 0.000 5.840
4.472 3.249 5.840
4.655 1.624 8.180
5.466 4.873 11.265
6.587 3.384 1.912
6.587 6.362 1.912
6.830 0.135 7.752
6.830 3.113 7.752
7.951 1.624 5.425
8.762 4.873 2.340
```

Values from the calculation:
Energy above the most stable polymorph in this dataset = 53 meV per atom

=====

[10]
# CsSbF4

Crystalline CsSbF4 at its relaxed geometry (GGA-PBEsol, Alexandria via LeMat-Bulk).

Structure (POSCAR):
```
CsSbF4
1.0
9.596 0.000 0.000
0.000 15.543 0.000
0.000 0.000 6.268
Cs Sb F
8 8 32
Cartesian
0.907 1.777 0.000
1.336 11.807 3.134
3.462 4.036 3.134
3.891 9.549 0.000
5.705 5.994 0.000
6.134 11.508 3.134
8.260 3.736 3.134
8.690 13.766 0.000
0.318 5.773 0.000
2.031 7.697 3.134
2.767 15.468 3.134
4.480 13.544 0.000
5.116 1.999 0.000
6.829 0.075 3.134
7.565 7.847 3.134
9.278 9.771 0.000
1.071 4.554 1.431
1.071 4.554 4.837
1.087 11.148 0.000
1.119 9.022 1.536
1.119 9.022 4.732
1.532 14.746 1.719
1.532 14.746 4.549
1.583 1.486 3.134
3.215 9.258 3.134
3.266 6.974 1.719
3.266 6.974 4.549
3.679 1.250 1.536
3.679 1.250 4.732
3.711 3.376 0.000
3.727 12.325 1.431
3.727 12.325 4.837
5.869 3.218 1.431
5.869 3.218 4.837
5.885 12.167 0.000
5.917 14.293 1.536
5.917 14.293 4.732
6.330 8.569 1.719
6.330 8.569 4.549
6.381 6.285 3.134
8.013 14.057 3.134
8.065 0.797 1.719
8.065 0.797 4.549
8.477 6.521 1.536
8.477 6.521 4.732
8.509 4.395 0.000
8.526 10.990 1.431
8.526 10.990 4.837
```

Values from the calculation:
Total DFT energy (no corrections) = -4.7947 eV/atom

=====

[11]
# CsSc2F

Crystalline CsSc2F at its relaxed geometry (GGA-PBEsol, Alexandria via LeMat-Bulk).

Structure (POSCAR):
```
CsSc2F
1.0
1.750 1.010 9.221
-1.750 1.010 9.221
0.000 -2.021 9.221
Cs Sc F
1 2 1
Cartesian
0.000 0.000 0.000
0.000 0.000 3.445
0.000 0.000 24.217
0.000 0.000 13.831
```

Values from the calculation:
Total DFT energy (no corrections) = -4.7313 eV/atom

=====

[12]
# Cs2SiF6

Crystalline Cs2SiF6 at its relaxed geometry (GGA-PBEsol, Alexandria via LeMat-Bulk).

Structure (POSCAR):
```
Cs2SiF6
1.0
0.000 4.404 4.404
4.404 0.000 4.404
4.404 4.404 0.000
Cs Si F
2 1 6
Cartesian
2.202 2.202 2.202
6.607 6.607 6.607
0.000 0.000 0.000
4.404 4.404 1.712
4.404 1.712 4.404
7.097 4.404 4.404
1.712 4.404 4.404
4.404 7.097 4.404
4.404 4.404 7.097
```

Values from the calculation:
Total DFT energy (no corrections) = -5.3479 eV/atom